Computed, not measured: crystalline Pr2MgBe at its relaxed geometry at the GGA-PBE level of DFT.

Cell and atoms, written as POSCAR:
```
Pr2MgBe
1.0
3.646 0.000 0.000
0.000 3.646 0.000
0.000 0.000 7.870
Pr Mg Be
2 1 1
Direct
0.000 0.000 0.213
0.000 0.000 0.787
0.500 0.500 0.500
0.500 0.500 0.000
```

Calculated values
* uncorrected energy: -3.674 eV/atom
* symmetry: P4/mmm, No. 123
* crystal system: tetragonal
* energy of formation: 0.05 eV/atom
* energy above the most stable polymorph in this dataset: 0 meV per atom
* total magnetization: 0.00 μB/cell